[1]
The following is a PBE calculation of crystalline NaSmCd2O4 at its relaxed geometry, from Alexandria.

The value obtained for the energy is -5.304 eV/atom. The raw formation energy is -1.8413 eV/atom. The value obtained for the density of states at the Fermi level is 0.08 states/eV/cell.

The space group is I4/mmm (No. 139) and the conventional cell measures 4.779, 4.779 and 9.798 Å, with angles of 90.00, 90.00 and 90.00 degrees. Symmetry generates all atoms from Na at (0.000, 0.000, 0.000), Sm at (0.000, 0.000, 0.500), Cd at (0.000, 0.500, 0.250), O at (0.000, 0.000, 0.259) and O at (0.000, 0.500, 0.000).


[2]
The following is a PBE calculation of crystalline Pm2PdSe at its relaxed geometry, from Alexandria.

The excess energy over the best structure of this formula in the dataset comes out at 204 meV per atom. The value obtained for the energy is -5.648 eV/atom. The raw formation energy is -1.1038 eV/atom. The value obtained for the density of states at the Fermi level is 4.67 states/eV/cell.

The space group is P4/mmm (No. 123) and the conventional cell measures 3.615, 3.615 and 7.311 Å, with angles of 90.00, 90.00 and 90.00 degrees. Symmetry generates all atoms from Pm at (0.000, 0.000, 0.245), Pd at (0.500, 0.500, 0.000) and Se at (0.500, 0.500, 0.500).


What did the second record say?
The following is a PBE calculation of crystalline Pm2PdSe at its relaxed geometry, from Alexandria.

The excess energy over the best structure of this formula in the dataset comes out at 204 meV per atom. The value obtained for the energy is -5.648 eV/atom. The raw formation energy is -1.1038 eV/atom. The value obtained for the density of states at the Fermi level is 4.67 states/eV/cell.

The space group is P4/mmm (No. 123) and the conventional cell measures 3.615, 3.615 and 7.311 Å, with angles of 90.00, 90.00 and 90.00 degrees. Symmetry generates all atoms from Pm at (0.000, 0.000, 0.245), Pd at (0.500, 0.500, 0.000) and Se at (0.500, 0.500, 0.500).